Record 1
# Pr2Nd5YTm PBE optimized geometry
# Volume: 316.0 Å³/f.u.
# Electronic total energy: -167.7 eV per cell
data_Pr2Nd5YTm
_chemical_formula_sum 'Pr8 Nd20 Y4 Tm4'
_cell_length_a 8.635
_cell_length_b 8.635
_cell_length_c 16.948
_cell_angle_alpha 90.00
_cell_angle_beta 90.00
_cell_angle_gamma 90.00
_space_group_name_H-M_alt 'I 4/m c m'
_space_group_IT_number 140
_space_group_name_Hall '-I 4 2c'
loop_
_atom_site_label
_atom_site_type_symbol
_atom_site_fract_x
_atom_site_fract_y
_atom_site_fract_z
Pr1 Pr 0.123 0.377 0.000
Nd1 Nd 0.000 0.000 0.000
Nd2 Nd 0.220 0.280 0.356
Y1 Y 0.000 0.000 0.250
Tm1 Tm 0.000 0.500 0.250

***

Record 2
# CePmErAg PBE optimized geometry
# Volume: 109.0 Å³/f.u.
# Electronic total energy: -70.4 eV per cell
data_CePmErAg
_chemical_formula_sum 'Ce4 Pm4 Er4 Ag4'
_cell_length_a 7.584
_cell_length_b 7.584
_cell_length_c 7.584
_cell_angle_alpha 90.00
_cell_angle_beta 90.00
_cell_angle_gamma 90.00
_space_group_name_H-M_alt 'F -4 3 m'
_space_group_IT_number 216
_space_group_name_Hall 'F -4 2 3'
loop_
_atom_site_label
_atom_site_type_symbol
_atom_site_fract_x
_atom_site_fract_y
_atom_site_fract_z
Ce1 Ce 0.000 0.000 0.000
Pm1 Pm 0.250 0.250 0.750
Er1 Er 0.000 0.000 0.500
Ag1 Ag 0.250 0.250 0.250

***

Record 3
# CaAcTm2 PBE optimized geometry
# Offset from the most stable computed form: 21 kJ/mol of formula units
# Volume: 143.9 Å³/f.u.
# Electronic total energy: -57.5 eV per cell
data_CaAcTm2
_chemical_formula_sum 'Ca4 Ac4 Tm8'
_cell_length_a 8.319
_cell_length_b 8.319
_cell_length_c 8.319
_cell_angle_alpha 90.00
_cell_angle_beta 90.00
_cell_angle_gamma 90.00
_space_group_name_H-M_alt 'F m -3 m'
_space_group_IT_number 225
_space_group_name_Hall '-F 4 2 3'
loop_
_atom_site_label
_atom_site_type_symbol
_atom_site_fract_x
_atom_site_fract_y
_atom_site_fract_z
Ca1 Ca 0.000 0.000 0.000
Ac1 Ac 0.000 0.000 0.500
Tm1 Tm 0.250 0.250 0.250

***

Record 4
# SrBiH3 PBE optimized geometry
# Offset from the most stable computed form: 36 kJ/mol of formula units
# Volume: 86.1 Å³/f.u.
# Electronic total energy: -14.1 eV per cell
data_SrBiH3
_chemical_formula_sum 'Sr1 Bi1 H3'
_cell_length_a 4.416
_cell_length_b 4.416
_cell_length_c 4.416
_cell_angle_alpha 90.00
_cell_angle_beta 90.00
_cell_angle_gamma 90.00
_space_group_name_H-M_alt 'P m -3 m'
_space_group_IT_number 221
_space_group_name_Hall '-P 4 2 3'
loop_
_atom_site_label
_atom_site_type_symbol
_atom_site_fract_x
_atom_site_fract_y
_atom_site_fract_z
Sr1 Sr 0.000 0.000 0.000
Bi1 Bi 0.500 0.500 0.500
H1 H 0.000 0.000 0.500

***

Which value of electronic total energy does entry 1 give? -167.7 eV per cell

***

Among the records above, which one has the lowest volume? SrBiH3